Record 1
Na2MgMoSe after structural relaxation. Source: the Alexandria database, functional GGA-PBE.

magnetization = 5.2 μB/f.u.
energy = -15.76 eV for the cell shown

a = 5.426 Å, b = 5.426 Å, c = 5.224 Å
α = 90.00°, β = 90.00°, γ = 90.00°
Space group P4/mmm (No. 123)
One atom of each set of equivalent atoms:
Na 0.000 0.500 0.000 (multiplicity 2)
Mg 0.000 0.000 0.500 (multiplicity 1)
Mo 0.500 0.500 0.500 (multiplicity 1)
Se 0.000 0.000 0.000 (multiplicity 1)


Record 2
Na2MgTeMo after structural relaxation. Source: the Alexandria database, functional GGA-PBE.

magnetization = 4.0 μB/f.u.
energy = -15.15 eV for the cell shown

a = 5.816 Å, b = 5.816 Å, c = 5.405 Å
α = 90.00°, β = 90.00°, γ = 90.00°
Space group P4/mmm (No. 123)
One atom of each set of equivalent atoms:
Na 0.000 0.500 0.000 (multiplicity 2)
Mg 0.000 0.000 0.500 (multiplicity 1)
Te 0.500 0.500 0.000 (multiplicity 1)
Mo 0.500 0.500 0.500 (multiplicity 1)


Record 3
Na2YMgMo after structural relaxation. Source: the Alexandria database, functional GGA-PBE.

magnetization = 4.0 μB/f.u.
energy relative to the elements = 1.3428 eV/atom

a = 5.232 Å, b = 5.232 Å, c = 6.025 Å
α = 90.00°, β = 90.00°, γ = 90.00°
Space group P4/mmm (No. 123)
One atom of each set of equivalent atoms:
Na 0.000 0.500 0.000 (multiplicity 2)
Y 0.000 0.000 0.500 (multiplicity 1)
Mg 0.000 0.000 0.000 (multiplicity 1)
Mo 0.500 0.500 0.500 (multiplicity 1)


Record 4
Na2MgZnMo after structural relaxation. Source: the Alexandria database, functional GGA-PBE.

magnetization = 3.9 μB/f.u.
energy relative to the elements = 1.1511 eV/atom

a = 5.774 Å, b = 5.774 Å, c = 5.080 Å
α = 90.00°, β = 90.00°, γ = 90.00°
Space group P4/mmm (No. 123)
One atom of each set of equivalent atoms:
Na 0.000 0.500 0.000 (multiplicity 2)
Mg 0.000 0.000 0.500 (multiplicity 1)
Zn 0.500 0.500 0.500 (multiplicity 1)
Mo 0.500 0.500 0.000 (multiplicity 1)


Record 5
MgNb3Mo after structural relaxation. Source: the Alexandria database, functional GGA-PBE.

magnetization = 0.0 μB/f.u.
energy relative to the elements = 1.9477 eV/atom
E above lowest polymorph = 4.42 eV/f.u.

a = 4.681 Å, b = 4.681 Å, c = 4.681 Å
α = 90.00°, β = 90.00°, γ = 90.00°
Space group Pm-3m (No. 221)
One atom of each set of equivalent atoms:
Mg 0.000 0.000 0.000 (multiplicity 1)
Nb 0.000 0.000 0.500 (multiplicity 3)
Mo 0.500 0.500 0.500 (multiplicity 1)


Record 6
Mg6NbMo after structural relaxation. Source: the Alexandria database, functional GGA-PBE.

magnetization = 0.0 μB/f.u.
energy relative to the elements = 0.2788 eV/atom
E above lowest polymorph = 0.59 eV/f.u.

a = 5.005 Å, b = 5.688 Å, c = 11.087 Å
α = 90.00°, β = 90.00°, γ = 90.00°
Space group Amm2 (No. 38)
One atom of each set of equivalent atoms:
Mg 0.000 0.000 0.000 (multiplicity 2)
Mg 0.000 0.000 0.495 (multiplicity 2)
Mg 0.000 0.247 0.266 (multiplicity 4)
Mg 0.500 0.250 0.107 (multiplicity 4)
Nb 0.500 0.000 0.856 (multiplicity 2)
Mo 0.500 0.000 0.356 (multiplicity 2)


Record 7
MgNb3Mo after structural relaxation. Source: the Alexandria database, functional GGA-PBE.

magnetization = 0.0 μB/f.u.
energy relative to the elements = 1.0640 eV/atom
E above lowest polymorph = 0.00 eV/f.u.

a = 4.869 Å, b = 4.869 Å, c = 4.869 Å
α = 90.00°, β = 90.00°, γ = 90.00°
Space group Pm-3m (No. 221)
One atom of each set of equivalent atoms:
Mg 0.000 0.000 0.000 (multiplicity 1)
Nb 0.000 0.500 0.500 (multiplicity 3)
Mo 0.500 0.500 0.500 (multiplicity 1)


Record 8
Mg6NbMo after structural relaxation. Source: the Alexandria database, functional GGA-PBE.

magnetization = 0.0 μB/f.u.
energy relative to the elements = 0.2049 eV/atom
E above lowest polymorph = 0.00 eV/f.u.

a = 4.820 Å, b = 6.021 Å, c = 10.988 Å
α = 90.00°, β = 90.00°, γ = 90.00°
Space group Amm2 (No. 38)
One atom of each set of equivalent atoms:
Mg 0.000 0.000 0.000 (multiplicity 2)
Mg 0.000 0.242 0.244 (multiplicity 4)
Mg 0.500 0.000 0.842 (multiplicity 2)
Mg 0.500 0.243 0.595 (multiplicity 4)
Nb 0.000 0.000 0.478 (multiplicity 2)
Mo 0.500 0.000 0.362 (multiplicity 2)